No. 1
Material: ScCo2Pb
Method: DFT, GGA-PBE
State: relaxed

Cell and atoms, written as POSCAR:
```
ScCo2Pb
1.0
-1.905 1.905 4.393
1.905 -1.905 4.393
1.905 1.905 -4.393
Sc Co Pb
1 2 1
direct
0.000 0.000 0.000 Sc
0.250 0.750 0.500 Co
0.500 0.500 0.000 Co
0.750 0.250 0.500 Pb
```

Size of the total moment = 0.30 μB/cell
Energy of formation from the pure elements = 63 meV per atom
DFT total energy = -6.00 eV/atom

No. 2
Material: ScCoPb2
Method: DFT, GGA-PBE
State: relaxed

Cell and atoms, written as POSCAR:
```
ScCoPb2
1.0
-1.712 2.756 4.633
1.712 -2.756 4.633
1.712 2.756 -4.633
Sc Co Pb
1 1 2
direct
0.000 0.000 0.000 Sc
0.500 0.500 0.000 Co
0.282 0.782 0.500 Pb
0.718 0.218 0.500 Pb
```

Excess energy over the best structure of this formula in the dataset = 166 meV/atom
Size of the total moment = 0.00 μB/cell
Energy of formation from the pure elements = 140 meV per atom
DFT total energy = -5.07 eV/atom

No. 3
Material: ScCo2Pb
Method: DFT, GGA-PBE
State: relaxed

Cell and atoms, written as POSCAR:
```
ScCo2Pb
1.0
1.981 1.144 5.465
-1.981 1.144 5.465
0.000 -2.288 5.465
Sc Co Pb
1 2 1
direct
0.000 0.000 0.000 Sc
0.427 0.427 0.427 Co
0.762 0.762 0.762 Co
0.194 0.194 0.194 Pb
```

Size of the total moment = 1.65 μB/cell
Energy of formation from the pure elements = -8 meV per atom
DFT total energy = -6.07 eV/atom

No. 4
Material: ScCoPb2
Method: DFT, GGA-PBE
State: relaxed

Cell and atoms, written as POSCAR:
```
ScCoPb2
1.0
4.555 0.000 0.000
0.000 4.555 0.000
0.000 0.000 4.143
Sc Co Pb
1 1 2
direct
0.000 0.000 0.000 Sc
0.500 0.500 0.000 Co
0.000 0.500 0.500 Pb
0.500 0.000 0.500 Pb
```

Excess energy over the best structure of this formula in the dataset = 161 meV/atom
Size of the total moment = 1.47 μB/cell
Energy of formation from the pure elements = 135 meV per atom
DFT total energy = -5.08 eV/atom

No. 5
Material: ScCo2Pb
Method: DFT, GGA-PBE
State: relaxed

Cell and atoms, written as POSCAR:
```
ScCo2Pb
1.0
4.348 0.000 0.000
0.000 4.348 0.000
0.000 0.000 3.364
Sc Co Pb
1 2 1
direct
0.000 0.000 0.000 Sc
0.000 0.500 0.500 Co
0.500 0.000 0.500 Co
0.500 0.500 0.000 Pb
```

Size of the total moment = 0.80 μB/cell
Energy of formation from the pure elements = -12 meV per atom
DFT total energy = -6.07 eV/atom

No. 6
Material: ScCoPb2
Method: DFT, GGA-PBE
State: relaxed

Cell and atoms, written as POSCAR:
```
ScCoPb2
1.0
-2.463 2.463 3.473
2.463 -2.463 3.473
2.463 2.463 -3.473
Sc Co Pb
1 1 2
direct
0.000 0.000 0.000 Sc
0.500 0.500 0.000 Co
0.250 0.750 0.500 Pb
0.750 0.250 0.500 Pb
```

Excess energy over the best structure of this formula in the dataset = 204 meV/atom
Size of the total moment = 0.76 μB/cell
Energy of formation from the pure elements = 178 meV per atom
DFT total energy = -5.04 eV/atom

No. 7
Material: ScCo2Pb
Method: DFT, GGA-PBE
State: relaxed

Cell and atoms, written as POSCAR:
```
ScCo2Pb
1.0
0.000 3.219 3.219
3.219 0.000 3.219
3.219 3.219 0.000
Sc Co Pb
1 2 1
direct
0.000 0.000 0.000 Sc
0.500 0.500 0.500 Co
0.750 0.750 0.750 Co
0.250 0.250 0.250 Pb
```

Size of the total moment = 2.81 μB/cell
Energy of formation from the pure elements = 206 meV per atom
DFT total energy = -5.86 eV/atom

No. 8
Material: ScCoPb2
Method: DFT, GGA-PBE
State: relaxed

Cell and atoms, written as POSCAR:
```
ScCoPb2
1.0
3.459 0.000 0.000
0.000 4.353 0.000
-0.855 0.000 5.849
Sc Co Pb
1 1 2
direct
0.000 0.000 0.000 Sc
0.500 0.000 0.500 Co
0.332 0.500 0.733 Pb
0.668 0.500 0.267 Pb
```

Excess energy over the best structure of this formula in the dataset = 159 meV/atom
Size of the total moment = 0.83 μB/cell
Energy of formation from the pure elements = 133 meV per atom
DFT total energy = -5.08 eV/atom

No. 9
Material: Sc2Co2Pb
Method: DFT, GGA-PBE
State: relaxed

Cell and atoms, written as POSCAR:
```
Sc2Co2Pb
1.0
-1.681 1.681 8.538
1.681 -1.681 8.538
1.681 1.681 -8.538
Sc Co Pb
2 2 1
direct
0.130 0.130 0.000 Sc
0.870 0.870 0.000 Sc
0.250 0.750 0.500 Co
0.750 0.250 0.500 Co
0.500 0.500 0.000 Pb
```

Size of the total moment = 1.78 μB/cell
Energy of formation from the pure elements = -107 meV per atom
DFT total energy = -6.22 eV/atom

No. 10
Material: ScCoPb2
Method: DFT, GGA-PBE
State: relaxed

Cell and atoms, written as POSCAR:
```
ScCoPb2
1.0
-2.106 2.106 4.861
2.106 -2.106 4.861
2.106 2.106 -4.861
Sc Co Pb
1 1 2
direct
0.000 0.000 0.000 Sc
0.250 0.750 0.500 Co
0.500 0.500 0.000 Pb
0.750 0.250 0.500 Pb
```

Excess energy over the best structure of this formula in the dataset = 174 meV/atom
Size of the total moment = 1.22 μB/cell
Energy of formation from the pure elements = 148 meV per atom
DFT total energy = -5.07 eV/atom

No. 11
Material: ScCoPb2
Method: DFT, GGA-PBE
State: relaxed

Cell and atoms, written as POSCAR:
```
ScCoPb2
1.0
1.801 1.040 7.933
-1.801 1.040 7.933
0.000 -2.080 7.933
Sc Co Pb
1 1 2
direct
0.000 0.000 0.000 Sc
0.500 0.500 0.500 Co
0.236 0.236 0.236 Pb
0.764 0.764 0.764 Pb
```

Excess energy over the best structure of this formula in the dataset = 230 meV/atom
Size of the total moment = 0.00 μB/cell
Energy of formation from the pure elements = 204 meV per atom
DFT total energy = -5.01 eV/atom

No. 12
Material: Sc2Co2Pb
Method: DFT, GGA-PBE
State: relaxed

Cell and atoms, written as POSCAR:
```
Sc2Co2Pb
1.0
-2.152 2.152 5.079
2.152 -2.152 5.079
2.152 2.152 -5.079
Sc Co Pb
2 2 1
direct
0.250 0.750 0.500 Sc
0.750 0.250 0.500 Sc
0.108 0.108 0.000 Co
0.892 0.892 0.000 Co
0.500 0.500 0.000 Pb
```

Size of the total moment = 0.00 μB/cell
Energy of formation from the pure elements = 24 meV per atom
DFT total energy = -6.09 eV/atom